Entry 1:
Material: TlTe5Pb4
Method: DFT, GGA-PBE
State: relaxed

Formation energy from raw total energies (eV per atom): -0.35
Volume (A^3/atom): 34.99
Space group: I4/mmm

Cell: 4.6100 4.6100 16.7820 Å, 97.89 97.89 90.00°
Sites, in units of the cell vectors:
Te 0.1012 0.1012 0.2025
Te 0.3003 0.3003 0.6006
Te 0.5000 0.5000 0.0000
Te 0.6997 0.6997 0.3994
Te 0.8988 0.8988 0.7975
Tl 0.0000 0.0000 0.0000
Pb 0.1993 0.1993 0.3987
Pb 0.8007 0.8007 0.6013
Pb 0.3992 0.3992 0.7983
Pb 0.6008 0.6008 0.2017

***

Entry 2:
Material: TlTePb4
Method: DFT, GGA-PBE
State: relaxed

Formation energy from raw total energies (eV per atom): 0.11
Volume (A^3/atom): 33.23
Space group: F-43m

Cell: 6.5574 6.5574 6.5574 Å, 60.00 60.00 60.00°
Sites, in units of the cell vectors:
Te 0.7500 0.7500 0.7500
Pb 0.8763 0.3746 0.3746
Pb 0.3746 0.8763 0.3746
Pb 0.3746 0.3746 0.8763
Pb 0.3746 0.3746 0.3746
Tl 0.0000 0.0000 0.0000

***

Entry 3:
Material: TlTePb
Method: DFT, GGA-PBE
State: relaxed

Distance to the lowest polymorph of the same formula (eV per atom): 0.0092
Formation energy from raw total energies (eV per atom): -0.14
Volume (A^3/atom): 35.37
Space group: P3m1

Cell: 4.2643 4.2643 6.7378 Å, 90.00 90.00 120.00°
Sites, in units of the cell vectors:
Pb 0.0000 0.0000 0.0339
Tl 0.3333 0.6667 0.6467
Te 0.6667 0.3333 0.3194

***

Entry 4:
Material: Tl3Te4Pb2
Method: DFT, GGA-PBE
State: relaxed

Formation energy from raw total energies (eV per atom): -0.26
Volume (A^3/atom): 35.64
Space group: P-1

Cell: 6.3273 6.4764 9.0950 Å, 108.62 112.79 91.53°
Sites, in units of the cell vectors:
Pb 0.2922 0.8778 0.6444
Pb 0.7078 0.1222 0.3556
Tl 0.2243 0.5832 0.2228
Tl 0.0000 0.0000 0.0000
Tl 0.7757 0.4168 0.7772
Te 0.7502 0.7751 0.5512
Te 0.4932 0.7414 0.9953
Te 0.5068 0.2586 0.0047
Te 0.2498 0.2249 0.4488

***

Entry 5:
Material: TlTe6Pb5
Method: DFT, GGA-PBE
State: relaxed

Formation energy from raw total energies (eV per atom): -0.36
Volume (A^3/atom): 35.08
Space group: C2/m

Cell: 8.0365 8.0365 7.9839 Å, 99.59 99.59 120.01°
Sites, in units of the cell vectors:
Te 0.0849 0.4222 0.2537
Te 0.5778 0.9151 0.7463
Te 0.2548 0.2548 0.7508
Te 0.4222 0.0849 0.2537
Te 0.7452 0.7452 0.2492
Te 0.9151 0.5778 0.7463
Pb 0.8324 0.1676 0.5000
Pb 0.1676 0.8324 0.5000
Pb 0.5000 0.5000 0.5000
Pb 0.6667 0.3333 0.0000
Pb 0.3333 0.6667 0.0000
Tl 0.0000 0.0000 0.0000

***

Entry 6:
Material: TlTePb
Method: DFT, GGA-PBE
State: relaxed

Distance to the lowest polymorph of the same formula (eV per atom): 0.0605
Formation energy from raw total energies (eV per atom): -0.09
Volume (A^3/atom): 38.65
Space group: P2_13

Cell: 7.7408 7.7408 7.7408 Å, 90.00 90.00 90.00°
Sites, in units of the cell vectors:
Tl 0.0737 0.0737 0.0737
Tl 0.5737 0.4263 0.9263
Tl 0.4263 0.9263 0.5737
Tl 0.9263 0.5737 0.4263
Pb 0.7940 0.7940 0.7940
Pb 0.7060 0.2060 0.2940
Pb 0.2060 0.2940 0.7060
Pb 0.2940 0.7060 0.2060
Te 0.8251 0.1749 0.6749
Te 0.6749 0.8251 0.1749
Te 0.3251 0.3251 0.3251
Te 0.1749 0.6749 0.8251

***

E: -3.642; -3.284; -3.213; -3.272; -3.670; -3.162 (eV/atom)
M_tot: 0.000; 0.000; 0.000; 0.000; 0.000; 0.000 (Bohr magnetons per cell)